# 1
{
  "formula": "AcPrSi2",
  "functional": "PBE",
  "state": "relaxed",
  "lattice_angstrom": [[-2.985, 1.953, 2.924], [-2.476, -3.153, -0.422], [4.081, -3.596, 2.932]],
  "species": ["Ac", "Si", "Si", "Pr"],
  "frac_coords": [[0.727, 0.000, 0.993], [0.013, 0.000, 0.564], [0.145, 0.500, 0.830], [0.446, 0.500, 0.431]],
  "formation_energy_uncorrected_mev_per_atom": -636,
  "e_above_lowest_polymorph_mev_per_atom": 5
}

# 2
{
  "formula": "Ac2Pr3Si4",
  "functional": "PBE",
  "state": "relaxed",
  "lattice_angstrom": [[-3.865, 6.313, -3.048], [-2.925, -6.442, -3.925], [-5.815, -0.819, 5.678]],
  "species": ["Si", "Si", "Si", "Si", "Si", "Si", "Si", "Si", "Ac", "Ac", "Ac", "Ac", "Pr", "Pr", "Pr", "Pr", "Pr", "Pr"],
  "frac_coords": [[0.383, 0.496, 0.386], [0.883, 0.496, 0.114], [0.117, 0.504, 0.886], [0.392, 0.081, 0.972], [0.608, 0.919, 0.028], [0.617, 0.504, 0.614], [0.892, 0.081, 0.528], [0.108, 0.919, 0.472], [0.092, 0.202, 0.179], [0.592, 0.202, 0.321], [0.908, 0.798, 0.821], [0.408, 0.798, 0.679], [0.500, 0.500, 0.000], [0.744, 0.758, 0.317], [0.000, 0.500, 0.500], [0.756, 0.242, 0.817], [0.244, 0.758, 0.183], [0.256, 0.242, 0.683]],
  "formation_energy_uncorrected_mev_per_atom": -637
}

# 3
{
  "formula": "AcPrSi",
  "functional": "PBE",
  "state": "relaxed",
  "lattice_angstrom": [[-0.440, 4.211, 1.915], [-4.784, -0.788, 0.634], [3.170, -1.261, 3.502]],
  "species": ["Pr", "Ac", "Si"],
  "frac_coords": [[0.565, 0.667, 0.333], [0.033, 0.000, 0.000], [0.401, 0.333, 0.667]],
  "formation_energy_uncorrected_mev_per_atom": -244,
  "e_above_lowest_polymorph_mev_per_atom": 186
}

# 4
{
  "formula": "AcPrSi4",
  "functional": "PBE",
  "state": "relaxed",
  "lattice_angstrom": [[5.659, 0.000, 0.000], [2.830, 4.901, 0.000], [2.830, 1.634, 4.621]],
  "species": ["Si", "Si", "Si", "Si", "Ac", "Pr"],
  "frac_coords": [[0.613, 0.161, 0.613], [0.613, 0.613, 0.161], [0.613, 0.613, 0.613], [0.161, 0.613, 0.613], [0.000, 0.000, 0.000], [0.250, 0.250, 0.250]],
  "formation_energy_uncorrected_mev_per_atom": -230,
  "e_above_lowest_polymorph_mev_per_atom": 337
}

# 5
{
  "formula": "Ac2PrSi6",
  "functional": "PBE",
  "state": "relaxed",
  "lattice_angstrom": [[4.446, 0.000, 0.000], [0.000, 6.322, -3.650], [0.000, 0.000, 7.300]],
  "species": ["Ac", "Ac", "Si", "Si", "Si", "Si", "Si", "Si", "Pr"],
  "frac_coords": [[0.000, 0.333, 0.667], [0.000, 0.667, 0.333], [0.500, 0.329, 0.000], [0.500, 0.000, 0.329], [0.500, 0.329, 0.329], [0.500, 0.000, 0.671], [0.500, 0.671, 0.671], [0.500, 0.671, 0.000], [0.000, 0.000, 0.000]],
  "formation_energy_uncorrected_mev_per_atom": -535
}

# 6
{
  "formula": "AcPrTlSi",
  "functional": "PBE",
  "state": "relaxed",
  "lattice_angstrom": [[-0.876, 5.419, 0.575], [-1.266, 3.074, -4.406], [-5.095, 2.047, -0.565]],
  "species": ["Tl", "Si", "Pr", "Ac"],
  "frac_coords": [[0.250, 0.250, 0.250], [0.750, 0.750, 0.750], [0.500, 0.500, 0.500], [0.000, 0.000, 0.000]],
  "formation_energy_uncorrected_mev_per_atom": -296
}

# 7
{
  "formula": "AcPrZn2Si2",
  "functional": "PBE",
  "state": "relaxed",
  "lattice_angstrom": [[4.243, 0.000, 0.000], [-2.122, 3.675, 0.000], [0.000, 0.000, 8.900]],
  "species": ["Zn", "Zn", "Si", "Si", "Ac", "Pr"],
  "frac_coords": [[0.333, 0.667, 0.738], [0.667, 0.333, 0.262], [0.333, 0.667, 0.263], [0.667, 0.333, 0.737], [0.000, 0.000, 0.000], [0.000, 0.000, 0.500]],
  "formation_energy_uncorrected_mev_per_atom": -597
}

# 8
{
  "formula": "AcPrZnSi",
  "functional": "PBE",
  "state": "relaxed",
  "lattice_angstrom": [[-1.508, -0.517, 4.152], [-1.628, -3.724, -1.055], [5.806, -2.378, -0.569]],
  "species": ["Si", "Pr", "Ac", "Zn"],
  "frac_coords": [[0.430, 0.000, 0.861], [0.862, 0.500, 0.724], [0.150, 0.000, 0.300], [0.558, 0.500, 0.115]],
  "formation_energy_uncorrected_mev_per_atom": -466,
  "e_above_lowest_polymorph_mev_per_atom": 0
}

# 9
{
  "formula": "AcPrZnSi",
  "functional": "PBE",
  "state": "relaxed",
  "lattice_angstrom": [[5.341, 0.000, 0.000], [2.671, 4.626, 0.000], [2.671, 1.542, 4.361]],
  "species": ["Pr", "Si", "Ac", "Zn"],
  "frac_coords": [[0.500, 0.500, 0.500], [0.750, 0.750, 0.750], [0.000, 0.000, 0.000], [0.250, 0.250, 0.250]],
  "formation_energy_uncorrected_mev_per_atom": -345,
  "e_above_lowest_polymorph_mev_per_atom": 121
}

# 10
{
  "formula": "AcPr5Sm3",
  "functional": "PBE",
  "state": "relaxed",
  "lattice_angstrom": [[-4.430, 5.257, 5.328], [-0.015, -5.582, 6.670], [5.100, 3.644, 12.650]],
  "species": ["Pr", "Pr", "Pr", "Pr", "Pr", "Pr", "Pr", "Pr", "Pr", "Pr", "Sm", "Sm", "Sm", "Sm", "Sm", "Sm", "Ac", "Ac"],
  "frac_coords": [[0.744, 0.256, 0.000], [0.955, 0.449, 0.402], [0.346, 0.346, 0.418], [0.045, 0.551, 0.598], [0.657, 0.657, 0.087], [0.256, 0.744, 0.000], [0.551, 0.045, 0.598], [0.449, 0.955, 0.402], [0.343, 0.343, 0.913], [0.654, 0.654, 0.582], [0.664, 0.664, 0.322], [0.000, 0.000, 0.000], [0.335, 0.335, 0.169], [0.665, 0.665, 0.831], [0.336, 0.336, 0.678], [0.000, 0.000, 0.500], [0.002, 0.002, 0.252], [0.998, 0.998, 0.748]],
  "e_above_lowest_polymorph_mev_per_atom": 310
}

# 11
{
  "formula": "Ac12Pr5Sm",
  "functional": "PBE",
  "state": "relaxed",
  "lattice_angstrom": [[11.738, 0.002, 0.018], [5.865, 9.969, 1.655], [-0.010, 1.106, 6.642]],
  "species": ["Ac", "Ac", "Ac", "Ac", "Ac", "Ac", "Ac", "Ac", "Ac", "Ac", "Ac", "Ac", "Pr", "Pr", "Pr", "Pr", "Pr", "Sm"],
  "frac_coords": [[0.670, 0.332, 0.000], [0.502, 0.667, 0.501], [0.831, 0.667, 0.501], [0.002, 0.667, 0.000], [0.836, 0.000, 0.500], [0.169, 0.334, 0.499], [0.330, 0.667, 0.000], [0.498, 0.334, 0.499], [0.335, 0.000, 0.000], [0.665, 0.000, 0.000], [0.998, 0.332, 0.000], [0.163, 0.000, 0.500], [0.500, 0.000, 0.500], [0.834, 0.333, 0.501], [0.667, 0.666, 0.001], [0.333, 0.333, 0.999], [0.166, 0.668, 0.499], [0.000, 0.000, 0.000]],
  "final_energy_ev_per_atom": -4.297
}

# 12
{
  "formula": "Ac3Pr6Sm",
  "functional": "PBE",
  "state": "relaxed",
  "lattice_angstrom": [[-1.570, 9.893, -2.393], [-9.572, 3.795, -0.195], [-3.376, 5.629, 3.324]],
  "species": ["Pr", "Pr", "Pr", "Pr", "Pr", "Pr", "Ac", "Ac", "Ac", "Sm"],
  "frac_coords": [[0.257, 0.925, 0.219], [0.925, 0.599, 0.219], [0.101, 0.443, 0.681], [0.775, 0.101, 0.681], [0.443, 0.775, 0.681], [0.599, 0.257, 0.219], [0.092, 0.092, 0.725], [0.350, 0.350, 0.950], [0.609, 0.609, 0.174], [0.850, 0.850, 0.450]],
  "final_energy_ev_per_atom": -4.248
}

Values of total moment, in order: 0.2; 0.0; 0.0; 0.0; 0.0; 0.0; 0.0; 0.0; 0.0; 0.0; 0.0; 0.0, all in μB per formula unit.
Values of Fermi-level density of states, in order: 0.896; 1.079; 0.652; 0.838; 0.663; 0.679; 0.709; 0.843; 0.686; 1.598; 1.827; 2.373, all in states/eV per atom.
Values of mass density, in order: 6.6; 6.4; 6.8; 6.2; 6.2; 8.4; 6.6; 7.0; 7.1; 6.1; 7.9; 7.0, all in g/cm³.